DFT (PBE) results for a relaxed Nd2Sm2CBr3Cl2 crystal.

The calculation puts the density at 5.4 g/cm³. The distance to the lowest polymorph of the same formula is 3 meV per atom.

It has space group C2/m (No. 12), with a = 17.727 Å, b = 3.899 Å, c = 8.305 Å, α = 90.00°, β = 103.71° and γ = 90.00°. Symmetry generates all atoms from Nd at (0.146, 0.000, 0.079), Sm at (0.002, 0.500, 0.796), C at (0.000, 0.000, 0.000), Br at (0.000, 0.000, 0.500), Br at (0.166, 0.500, 0.352) and Cl at (0.169, 0.500, 0.841).



DFT (PBE) results for a relaxed Nd2Al3In3 crystal.

For the total energy, the calculation gives -4.004 eV/atom. The calculation puts the density at 6.3 g/cm³.

It has space group Pm (No. 6), with a = 6.664 Å, b = 4.830 Å, c = 6.726 Å, α = 90.00°, β = 119.15° and γ = 90.00°. Symmetry generates all atoms from Nd at (0.000, 0.000, 0.000), Nd at (0.332, 0.500, 0.694), Al at (0.533, 0.000, 0.064), Al at (0.822, 0.500, 0.640), Al at (0.956, 0.000, 0.495), In at (0.364, 0.500, 0.198), In at (0.520, 0.000, 0.509) and In at (0.829, 0.500, 0.200).



DFT (PBE) results for a relaxed Cu2Ag3 crystal.

The calculation puts the density at 9.6 g/cm³. The distance to the lowest polymorph of the same formula is 56 meV per atom.

It has space group Pmmn (No. 59, origin choice 2), with a = 2.859 Å, b = 3.716 Å, c = 14.681 Å, α = 90.00°, β = 90.00° and γ = 90.00°. Symmetry generates all atoms from Cu at (0.250, 0.250, 0.042), Cu at (0.250, 0.250, 0.654), Ag at (0.250, 0.250, 0.250), Ag at (0.250, 0.250, 0.444) and Ag at (0.250, 0.250, 0.862).